# GGA-PBE TbPr2Nd2Er2, relaxed
data_TbPr2Nd2Er2
_chemical_formula_sum 'Tb2 Pr4 Nd4 Er4'
_cell_length_a 11.464
_cell_length_b 5.125
_cell_length_c 8.106
_cell_angle_alpha 90.00
_cell_angle_beta 98.20
_cell_angle_gamma 90.00
_space_group_name_H-M_alt 'C 1 2/m 1'
_space_group_IT_number 12
loop_
_space_group_symop_operation_xyz
'x,y,z'
'-x,-y,-z'
'-x,y,-z'
'x,-y,z'
'x+1/2,y+1/2,z'
'-x+1/2,-y+1/2,-z'
'-x+1/2,y+1/2,-z'
'x+1/2,-y+1/2,z'
loop_
_atom_site_label
_atom_site_fract_x
_atom_site_fract_y
_atom_site_fract_z
Tb1 0.000 0.000 0.000
Pr1 0.144 0.000 0.427
Nd1 0.071 0.500 0.721
Er1 0.215 0.500 0.139
# M_tot: 0.00 μB per formula unit
# Total energy: -4.67 eV per atom
# DFT formation energy: 20.4 meV/atom


# GGA-PBE TbPr4Nd2Er2, relaxed
data_TbPr4Nd2Er2
_chemical_formula_sum 'Tb2 Pr8 Nd4 Er4'
_cell_length_a 15.506
_cell_length_b 5.169
_cell_length_c 8.118
_cell_angle_alpha 90.00
_cell_angle_beta 108.61
_cell_angle_gamma 90.00
_space_group_name_H-M_alt 'C 1 2/m 1'
_space_group_IT_number 12
loop_
_space_group_symop_operation_xyz
'x,y,z'
'-x,-y,-z'
'-x,y,-z'
'x,-y,z'
'x+1/2,y+1/2,z'
'-x+1/2,-y+1/2,-z'
'-x+1/2,y+1/2,-z'
'x+1/2,-y+1/2,z'
loop_
_atom_site_label
_atom_site_fract_x
_atom_site_fract_y
_atom_site_fract_z
Tb1 0.000 0.000 0.000
Pr1 0.055 0.500 0.329
Pr2 0.222 0.000 0.329
Nd1 0.112 0.000 0.670
Er1 0.167 0.500 0.000
# M_tot: 0.00 μB per formula unit
# Total energy: -4.69 eV per atom
# DFT formation energy: 22.4 meV/atom


Look up the total energy of the first one.
-4.67 eV per atom


What is the total energy in the first record?
-4.67 eV per atom


Look up the total energy of the second one.
-4.69 eV per atom